1.
# Cs2Bi3Pb4Au

Crystalline Cs2Bi3Pb4Au at its relaxed geometry (PBE, the Alexandria database). Values from VASP.

V	39.60	A^3/atom
E_tot	-3.31	eV/atom
formation enthalpy at 0 K	-0.165	eV per atom
total magnetic moment	0.000	μB/f.u.

```
&SYSTEM
  ibrav = 0, nat = 10, ntyp = 4
/
ATOMIC_SPECIES
Cs 132.91 Cs.upf
Bi 208.98 Bi.upf
Pb 207.20 Pb.upf
Au 196.97 Au.upf
CELL_PARAMETERS angstrom
5.504 0.000 0.000
0.000 5.504 0.000
0.000 0.000 13.071
ATOMIC_POSITIONS crystal
Cs 0.000 0.500 0.237
Cs 0.500 0.000 0.763
Bi 0.000 0.000 0.000
Bi 0.000 0.500 0.640
Bi 0.500 0.000 0.360
Pb 0.000 0.000 0.500
Pb 0.000 0.500 0.889
Pb 0.500 0.000 0.111
Pb 0.500 0.500 0.500
Au 0.500 0.500 0.000
```

---

2.
# Ho6Pb3C

Crystalline Ho6Pb3C at its relaxed geometry (PBE, the Alexandria database). Values from VASP.

V	28.09	A^3/atom
E_tot	-5.09	eV/atom
formation enthalpy at 0 K	-0.312	eV per atom
total magnetic moment	0.000	μB/f.u.

```
&SYSTEM
  ibrav = 0, nat = 10, ntyp = 3
/
ATOMIC_SPECIES
Ho 164.93 Ho.upf
Pb 207.20 Pb.upf
C 12.01 C.upf
CELL_PARAMETERS angstrom
5.848 -3.376 0.000
5.848 3.376 0.000
-2.291 0.000 7.114
ATOMIC_POSITIONS crystal
Ho 0.149 0.653 0.630
Ho 0.172 0.172 0.804
Ho 0.347 0.851 0.370
Ho 0.653 0.149 0.630
Ho 0.828 0.828 0.196
Ho 0.851 0.347 0.370
Pb 0.315 0.315 0.255
Pb 0.500 0.500 0.000
Pb 0.685 0.685 0.745
C 0.000 0.000 0.500
```

---

3.
# La3TbDy4

Crystalline La3TbDy4 at its relaxed geometry (PBE, the Alexandria database). Values from VASP.

V	34.12	A^3/atom
E_tot	-4.59	eV/atom
formation enthalpy at 0 K	0.134	eV per atom
total magnetic moment	0.000	μB/f.u.
relative energy among the computed polymorphs	0.101	eV/atom

```
&SYSTEM
  ibrav = 0, nat = 8, ntyp = 3
/
ATOMIC_SPECIES
La 138.91 La.upf
Tb 158.93 Tb.upf
Dy 162.50 Dy.upf
CELL_PARAMETERS angstrom
-1.753 5.915 6.580
1.753 -5.915 6.580
1.753 5.915 -6.580
ATOMIC_POSITIONS crystal
La 0.000 0.000 0.000
La 0.257 0.757 0.500
La 0.743 0.243 0.500
Tb 0.500 0.500 0.000
Dy 0.120 0.366 0.754
Dy 0.389 0.634 0.754
Dy 0.611 0.366 0.246
Dy 0.880 0.634 0.246
```

---

4.
# CaDy3Sb3

Crystalline CaDy3Sb3 at its relaxed geometry (PBE, the Alexandria database). Values from VASP.

V	31.29	A^3/atom
E_tot	-4.92	eV/atom
total magnetic moment	0.001	μB/f.u.
E_form (uncorrected)	-0.895	eV/atom

```
&SYSTEM
  ibrav = 0, nat = 14, ntyp = 3
/
ATOMIC_SPECIES
Ca 40.08 Ca.upf
Dy 162.50 Dy.upf
Sb 121.76 Sb.upf
CELL_PARAMETERS angstrom
4.534 2.617 6.153
-4.534 2.617 6.153
0.000 -5.235 6.153
ATOMIC_POSITIONS crystal
Ca 0.166 0.166 0.166
Ca 0.834 0.834 0.834
Dy 0.153 0.680 0.411
Dy 0.320 0.589 0.847
Dy 0.411 0.153 0.680
Dy 0.589 0.847 0.320
Dy 0.680 0.411 0.153
Dy 0.847 0.320 0.589
Sb 0.034 0.423 0.797
Sb 0.203 0.966 0.577
Sb 0.423 0.797 0.034
Sb 0.577 0.203 0.966
Sb 0.797 0.034 0.423
Sb 0.966 0.577 0.203
```

---

5.
# Ba2Zn3Au

Crystalline Ba2Zn3Au at its relaxed geometry (PBE, the Alexandria database). Values from VASP.

V	28.83	A^3/atom
E_tot	-2.19	eV/atom
formation enthalpy at 0 K	-0.370	eV per atom
total magnetic moment	0.000	μB/f.u.

```
&SYSTEM
  ibrav = 0, nat = 12, ntyp = 3
/
ATOMIC_SPECIES
Ba 137.33 Ba.upf
Zn 65.41 Zn.upf
Au 196.97 Au.upf
CELL_PARAMETERS angstrom
0.000 4.701 8.070
4.560 0.000 8.070
4.560 4.701 0.000
ATOMIC_POSITIONS crystal
Ba 0.244 0.756 0.756
Ba 0.250 0.250 0.250
Ba 0.750 0.750 0.750
Ba 0.756 0.244 0.244
Zn 0.169 0.665 0.335
Zn 0.335 0.335 0.665
Zn 0.335 0.831 0.169
Zn 0.665 0.169 0.831
Zn 0.665 0.665 0.335
Zn 0.831 0.335 0.665
Au 0.167 0.167 0.833
Au 0.833 0.833 0.167
```

---

6.
# Ho2Al3Ga

Crystalline Ho2Al3Ga at its relaxed geometry (PBE, the Alexandria database). Values from VASP.

V	20.45	A^3/atom
E_tot	-4.43	eV/atom
formation enthalpy at 0 K	-0.529	eV per atom
total magnetic moment	0.000	μB/f.u.

```
&SYSTEM
  ibrav = 0, nat = 6, ntyp = 3
/
ATOMIC_SPECIES
Ho 164.93 Ho.upf
Al 26.98 Al.upf
Ga 69.72 Ga.upf
CELL_PARAMETERS angstrom
3.464 0.000 0.000
0.000 4.535 0.000
0.000 0.000 7.811
ATOMIC_POSITIONS crystal
Ho 0.000 0.000 0.000
Ho 0.000 0.500 0.497
Al 0.500 0.000 0.664
Al 0.500 0.500 0.166
Al 0.500 0.500 0.831
Ga 0.500 0.000 0.332
```

---

7.
# POsN

Crystalline POsN at its relaxed geometry (PBE, the Alexandria database). Values from VASP.

V	13.05	A^3/atom
E_tot	-7.85	eV/atom
total magnetic moment	0.000	μB/f.u.
E_form (uncorrected)	0.474	eV/atom
relative energy among the computed polymorphs	0.355	eV/atom

```
&SYSTEM
  ibrav = 0, nat = 3, ntyp = 3
/
ATOMIC_SPECIES
P 30.97 P.upf
Os 190.23 Os.upf
N 14.01 N.upf
CELL_PARAMETERS angstrom
3.684 -1.418 0.000
3.684 1.418 0.000
-1.168 0.000 3.748
ATOMIC_POSITIONS crystal
P 0.000 0.000 0.000
Os 0.463 0.463 0.496
N 0.180 0.180 0.391
```

---

8.
# Ac4Si2F5

Crystalline Ac4Si2F5 at its relaxed geometry (PBE, the Alexandria database). Values from VASP.

V	21.37	A^3/atom
E_tot	-5.97	eV/atom
total magnetic moment	0.000	μB/f.u.
E_form (uncorrected)	-2.635	eV/atom

```
&SYSTEM
  ibrav = 0, nat = 11, ntyp = 3
/
ATOMIC_SPECIES
Ac 227.00 Ac.upf
Si 28.09 Si.upf
F 19.00 F.upf
CELL_PARAMETERS angstrom
-2.111 3.923 7.097
2.111 -3.923 7.097
2.111 3.923 -7.097
ATOMIC_POSITIONS crystal
Ac 0.246 0.246 0.000
Ac 0.253 0.000 0.253
Ac 0.747 0.000 0.747
Ac 0.754 0.754 0.000
Si 0.084 0.584 0.500
Si 0.916 0.416 0.500
F 0.139 0.814 0.324
F 0.490 0.814 0.676
F 0.500 0.500 0.000
F 0.510 0.186 0.324
F 0.861 0.186 0.676
```

---

9.
# Ca2ThHg4

Crystalline Ca2ThHg4 at its relaxed geometry (PBE, the Alexandria database). Values from VASP.

V	30.24	A^3/atom
E_tot	-2.09	eV/atom
formation enthalpy at 0 K	-0.289	eV per atom
total magnetic moment	0.000	μB/f.u.

```
&SYSTEM
  ibrav = 0, nat = 7, ntyp = 3
/
ATOMIC_SPECIES
Ca 40.08 Ca.upf
Th 232.04 Th.upf
Hg 200.59 Hg.upf
CELL_PARAMETERS angstrom
2.608 1.506 8.980
-2.608 1.506 8.980
0.000 -3.012 8.980
ATOMIC_POSITIONS crystal
Ca 0.242 0.242 0.242
Ca 0.758 0.758 0.758
Th 0.000 0.000 0.000
Hg 0.124 0.124 0.124
Hg 0.375 0.375 0.375
Hg 0.625 0.625 0.625
Hg 0.876 0.876 0.876
```

---

10.
# InTe2PC

Crystalline InTe2PC at its relaxed geometry (PBE, the Alexandria database). Values from VASP.

V	27.24	A^3/atom
E_tot	-3.09	eV/atom
total magnetic moment	1.413	μB/f.u.
E_form (uncorrected)	1.644	eV/atom

```
&SYSTEM
  ibrav = 0, nat = 5, ntyp = 4
/
ATOMIC_SPECIES
In 114.82 In.upf
Te 127.60 Te.upf
P 30.97 P.upf
C 12.01 C.upf
CELL_PARAMETERS angstrom
5.743 0.000 0.000
0.000 5.743 0.000
0.000 0.000 4.130
ATOMIC_POSITIONS crystal
In 0.000 0.000 0.000
Te 0.000 0.500 0.000
Te 0.500 0.000 0.000
P 0.500 0.500 0.500
C 0.000 0.000 0.500
```

---

11.
# CaVFePt2

Crystalline CaVFePt2 at its relaxed geometry (PBE, the Alexandria database). Values from VASP.

V	19.52	A^3/atom
E_tot	-6.24	eV/atom
formation enthalpy at 0 K	0.097	eV per atom
total magnetic moment	0.679	μB/f.u.

```
&SYSTEM
  ibrav = 0, nat = 5, ntyp = 4
/
ATOMIC_SPECIES
Ca 40.08 Ca.upf
V 50.94 V.upf
Fe 55.84 Fe.upf
Pt 195.08 Pt.upf
CELL_PARAMETERS angstrom
4.817 0.000 0.000
0.000 4.817 0.000
0.000 0.000 4.207
ATOMIC_POSITIONS crystal
Ca 0.000 0.000 0.000
V 0.500 0.500 0.500
Fe 0.500 0.500 0.000
Pt 0.000 0.500 0.500
Pt 0.500 0.000 0.500
```

---

12.
# PuNbPd

Crystalline PuNbPd at its relaxed geometry (PBE, the Alexandria database). Values from VASP.

V	19.41	A^3/atom
E_tot	-9.77	eV/atom
formation enthalpy at 0 K	0.092	eV per atom
total magnetic moment	4.809	μB/f.u.
relative energy among the computed polymorphs	0.174	eV/atom

```
&SYSTEM
  ibrav = 0, nat = 3, ntyp = 3
/
ATOMIC_SPECIES
Pu 244.00 Pu.upf
Nb 92.91 Nb.upf
Pd 106.42 Pd.upf
CELL_PARAMETERS angstrom
4.891 0.000 0.000
-2.445 4.235 0.000
0.000 0.000 2.811
ATOMIC_POSITIONS crystal
Pu 0.000 0.000 0.000
Nb 0.333 0.667 0.501
Pd 0.667 0.333 0.499
```

---

13.
# DyErCu

Crystalline DyErCu at its relaxed geometry (PBE, the Alexandria database). Values from VASP.

V	26.40	A^3/atom
E_tot	-4.38	eV/atom
formation enthalpy at 0 K	0.043	eV per atom
total magnetic moment	0.000	μB/f.u.
relative energy among the computed polymorphs	0.216	eV/atom

```
&SYSTEM
  ibrav = 0, nat = 3, ntyp = 3
/
ATOMIC_SPECIES
Dy 162.50 Dy.upf
Er 167.26 Er.upf
Cu 63.55 Cu.upf
CELL_PARAMETERS angstrom
0.000 3.408 3.408
3.408 0.000 3.408
3.408 3.408 0.000
ATOMIC_POSITIONS crystal
Dy 0.000 0.000 0.000
Er 0.500 0.500 0.500
Cu 0.750 0.750 0.750
```

---

14.
# CaDyGaCu

Crystalline CaDyGaCu at its relaxed geometry (PBE, the Alexandria database). Values from VASP.

V	22.56	A^3/atom
E_tot	-3.76	eV/atom
formation enthalpy at 0 K	-0.330	eV per atom
total magnetic moment	0.000	μB/f.u.

```
&SYSTEM
  ibrav = 0, nat = 4, ntyp = 4
/
ATOMIC_SPECIES
Ca 40.08 Ca.upf
Dy 162.50 Dy.upf
Ga 69.72 Ga.upf
Cu 63.55 Cu.upf
CELL_PARAMETERS angstrom
0.000 3.560 3.560
3.560 0.000 3.560
3.560 3.560 0.000
ATOMIC_POSITIONS crystal
Ca 0.000 0.000 0.000
Dy 0.500 0.500 0.500
Ga 0.750 0.750 0.750
Cu 0.250 0.250 0.250
```

---

15.
# LaCuAs2

Crystalline LaCuAs2 at its relaxed geometry (PBE, the Alexandria database). Values from VASP.

V	21.39	A^3/atom
E_tot	-5.16	eV/atom
formation enthalpy at 0 K	-0.575	eV per atom
total magnetic moment	0.000	μB/f.u.

```
&SYSTEM
  ibrav = 0, nat = 4, ntyp = 3
/
ATOMIC_SPECIES
La 138.91 La.upf
Cu 63.55 Cu.upf
As 74.92 As.upf
CELL_PARAMETERS angstrom
2.210 1.276 5.059
-2.210 1.276 5.059
0.000 -2.552 5.059
ATOMIC_POSITIONS crystal
La 0.000 0.000 0.000
Cu 0.500 0.500 0.500
As 0.212 0.212 0.212
As 0.788 0.788 0.788
```

---

16.
# TlZnIn2

Crystalline TlZnIn2 at its relaxed geometry (PBE, the Alexandria database). Values from VASP.

V	25.56	A^3/atom
E_tot	-2.19	eV/atom
formation enthalpy at 0 K	0.089	eV per atom
total magnetic moment	0.000	μB/f.u.

```
&SYSTEM
  ibrav = 0, nat = 4, ntyp = 3
/
ATOMIC_SPECIES
Tl 204.38 Tl.upf
Zn 65.41 Zn.upf
In 114.82 In.upf
CELL_PARAMETERS angstrom
5.655 -1.711 0.000
5.655 1.711 0.000
-1.962 0.000 5.281
ATOMIC_POSITIONS crystal
Tl 0.000 0.000 0.000
Zn 0.500 0.500 0.500
In 0.223 0.223 0.724
In 0.777 0.777 0.276
```

---

17.
# La2NdTl3

Crystalline La2NdTl3 at its relaxed geometry (PBE, the Alexandria database). Values from VASP.

V	31.02	A^3/atom
E_tot	-4.03	eV/atom
formation enthalpy at 0 K	-0.414	eV per atom
total magnetic moment	0.000	μB/f.u.
relative energy among the computed polymorphs	0.000	eV/atom

```
&SYSTEM
  ibrav = 0, nat = 6, ntyp = 3
/
ATOMIC_SPECIES
La 138.91 La.upf
Nd 144.24 Nd.upf
Tl 204.38 Tl.upf
CELL_PARAMETERS angstrom
3.934 0.000 0.000
0.000 3.934 0.000
0.000 0.000 12.027
ATOMIC_POSITIONS crystal
La 0.000 0.000 0.170
La 0.000 0.000 0.830
Nd 0.000 0.000 0.500
Tl 0.500 0.500 0.000
Tl 0.500 0.500 0.340
Tl 0.500 0.500 0.660
```

---

18.
# Cs2BaHgBr6

Crystalline Cs2BaHgBr6 at its relaxed geometry (PBE, the Alexandria database). Values from VASP.

V	41.59	A^3/atom
E_tot	-2.89	eV/atom
total magnetic moment	0.000	μB/f.u.
E_form (uncorrected)	-1.489	eV/atom
relative energy among the computed polymorphs	0.000	eV/atom

```
&SYSTEM
  ibrav = 0, nat = 20, ntyp = 4
/
ATOMIC_SPECIES
Cs 132.91 Cs.upf
Ba 137.33 Ba.upf
Hg 200.59 Hg.upf
Br 79.90 Br.upf
CELL_PARAMETERS angstrom
8.280 0.000 0.000
0.000 8.494 0.000
-8.138 0.000 11.828
ATOMIC_POSITIONS crystal
Cs 0.231 0.056 0.248
Cs 0.231 0.444 0.748
Cs 0.769 0.556 0.252
Cs 0.769 0.944 0.752
Ba 0.500 0.000 0.000
Ba 0.500 0.500 0.500
Hg 0.000 0.000 0.500
Hg 0.000 0.500 0.000
Br 0.150 0.221 0.959
Br 0.150 0.279 0.459
Br 0.239 0.694 0.961
Br 0.239 0.806 0.461
Br 0.311 0.014 0.734
Br 0.311 0.486 0.234
Br 0.689 0.514 0.766
Br 0.689 0.986 0.266
Br 0.761 0.194 0.539
Br 0.761 0.306 0.039
Br 0.850 0.721 0.541
Br 0.850 0.779 0.041
```

---

19.
# Tb5Sm4Al

Crystalline Tb5Sm4Al at its relaxed geometry (PBE, the Alexandria database). Values from VASP.

V	32.59	A^3/atom
E_tot	-4.48	eV/atom
formation enthalpy at 0 K	0.093	eV per atom
total magnetic moment	0.000	μB/f.u.
relative energy among the computed polymorphs	0.156	eV/atom

```
&SYSTEM
  ibrav = 0, nat = 10, ntyp = 3
/
ATOMIC_SPECIES
Tb 158.93 Tb.upf
Sm 150.36 Sm.upf
Al 26.98 Al.upf
CELL_PARAMETERS angstrom
-5.333 5.333 2.865
5.333 -5.333 2.865
5.333 5.333 -2.865
ATOMIC_POSITIONS crystal
Tb 0.000 0.000 0.000
Tb 0.126 0.126 0.635
Tb 0.126 0.491 0.000
Tb 0.491 0.126 0.000
Tb 0.491 0.491 0.365
Sm 0.113 0.802 0.312
Sm 0.490 0.802 0.688
Sm 0.802 0.113 0.312
Sm 0.802 0.490 0.688
Al 0.517 0.517 0.000
```

---

20.
# LiEuMgAg

Crystalline LiEuMgAg at its relaxed geometry (PBE, the Alexandria database). Values from VASP.

V	24.06	A^3/atom
E_tot	-4.29	eV/atom
formation enthalpy at 0 K	-0.131	eV per atom
total magnetic moment	7.422	μB/f.u.

```
&SYSTEM
  ibrav = 0, nat = 4, ntyp = 4
/
ATOMIC_SPECIES
Li 6.94 Li.upf
Eu 151.96 Eu.upf
Mg 24.30 Mg.upf
Ag 107.87 Ag.upf
CELL_PARAMETERS angstrom
0.000 3.637 3.637
3.637 0.000 3.637
3.637 3.637 0.000
ATOMIC_POSITIONS crystal
Li 0.000 0.000 0.000
Eu 0.750 0.750 0.750
Mg 0.250 0.250 0.250
Ag 0.500 0.500 0.500
```

---

21.
# Os4RuSe

Crystalline Os4RuSe at its relaxed geometry (PBE, the Alexandria database). Values from VASP.

V	16.21	A^3/atom
E_tot	-8.46	eV/atom
total magnetic moment	1.249	μB/f.u.
E_form (uncorrected)	1.155	eV/atom

```
&SYSTEM
  ibrav = 0, nat = 6, ntyp = 3
/
ATOMIC_SPECIES
Os 190.23 Os.upf
Ru 101.07 Ru.upf
Se 78.96 Se.upf
CELL_PARAMETERS angstrom
0.000 3.650 3.650
3.650 0.000 3.650
3.650 3.650 0.000
ATOMIC_POSITIONS crystal
Os 0.376 0.376 0.376
Os 0.376 0.376 0.873
Os 0.376 0.873 0.376
Os 0.873 0.376 0.376
Ru 0.750 0.750 0.750
Se 0.000 0.000 0.000
```

---

22.
# LaPbSe

Crystalline LaPbSe at its relaxed geometry (PBE, the Alexandria database). Values from VASP.

V	33.97	A^3/atom
E_tot	-4.55	eV/atom
total magnetic moment	0.000	μB/f.u.
E_form (uncorrected)	-0.507	eV/atom
relative energy among the computed polymorphs	0.673	eV/atom

```
&SYSTEM
  ibrav = 0, nat = 3, ntyp = 3
/
ATOMIC_SPECIES
La 138.91 La.upf
Pb 207.20 Pb.upf
Se 78.96 Se.upf
CELL_PARAMETERS angstrom
0.000 3.707 3.707
3.707 0.000 3.707
3.707 3.707 0.000
ATOMIC_POSITIONS crystal
La 0.000 0.000 0.000
Pb 0.750 0.750 0.750
Se 0.250 0.250 0.250
```

---

23.
# AcTmNiPd

Crystalline AcTmNiPd at its relaxed geometry (PBE, the Alexandria database). Values from VASP.

V	23.25	A^3/atom
E_tot	-5.34	eV/atom
formation enthalpy at 0 K	-0.456	eV per atom
total magnetic moment	0.000	μB/f.u.

```
&SYSTEM
  ibrav = 0, nat = 4, ntyp = 4
/
ATOMIC_SPECIES
Ac 227.00 Ac.upf
Tm 168.93 Tm.upf
Ni 58.69 Ni.upf
Pd 106.42 Pd.upf
CELL_PARAMETERS angstrom
0.000 3.596 3.596
3.596 0.000 3.596
3.596 3.596 0.000
ATOMIC_POSITIONS crystal
Ac 0.000 0.000 0.000
Tm 0.500 0.500 0.500
Ni 0.750 0.750 0.750
Pd 0.250 0.250 0.250
```

---

24.
# Mn2CoSb

Crystalline Mn2CoSb at its relaxed geometry (PBE, the Alexandria database). Values from VASP.

V	16.23	A^3/atom
E_tot	-6.89	eV/atom
total magnetic moment	8.181	μB/f.u.
E_form (uncorrected)	0.505	eV/atom

```
&SYSTEM
  ibrav = 0, nat = 4, ntyp = 3
/
ATOMIC_SPECIES
Mn 54.94 Mn.upf
Co 58.93 Co.upf
Sb 121.76 Sb.upf
CELL_PARAMETERS angstrom
1.520 0.878 8.113
-1.520 0.878 8.113
0.000 -1.755 8.113
ATOMIC_POSITIONS crystal
Mn 0.000 0.000 0.000
Mn 0.247 0.247 0.247
Co 0.741 0.741 0.741
Sb 0.487 0.487 0.487
```

---

25.
# Tc4SbMo

Crystalline Tc4SbMo at its relaxed geometry (PBE, the Alexandria database). Values from VASP.

V	16.23	A^3/atom
E_tot	-9.01	eV/atom
total magnetic moment	0.000	μB/f.u.
E_form (uncorrected)	0.390	eV/atom

```
&SYSTEM
  ibrav = 0, nat = 6, ntyp = 3
/
ATOMIC_SPECIES
Tc 98.00 Tc.upf
Sb 121.76 Sb.upf
Mo 95.94 Mo.upf
CELL_PARAMETERS angstrom
0.000 3.652 3.652
3.652 0.000 3.652
3.652 3.652 0.000
ATOMIC_POSITIONS crystal
Tc 0.124 0.124 0.124
Tc 0.124 0.124 0.627
Tc 0.124 0.627 0.124
Tc 0.627 0.124 0.124
Sb 0.750 0.750 0.750
Mo 0.500 0.500 0.500
```